VASP calculation (PBE with a Hubbard U) on Ni2Ag2IO6 after structural relaxation.

The total energy is -47.4 eV for the cell shown. Its space group is No. 12.

a = 5.3255 Å, b = 5.3255 Å, c = 6.1663 Å
α = 98.68°, β = 98.68°, γ = 118.98°
Positions (direct):
Ni1 0.1663 0.8337 0.0000
Ni2 0.8337 0.1663 0.0000
Ag1 0.1819 0.8181 0.5000
Ag2 0.8181 0.1819 0.5000
I1 0.5000 0.5000 0.0000
O1 0.1184 0.1184 0.8100
O2 0.2363 0.5607 0.1809
O3 0.4393 0.7637 0.8191
O4 0.5607 0.2363 0.1809
O5 0.7637 0.4393 0.8191
O6 0.8816 0.8816 0.1900